Computed, not measured: an optimized crystal structure of PmIn2Pd2 at the GGA-PBE level of DFT.

Lattice parameters (Å, degrees): 5.0099 5.0504 5.1614 104.06 90.00 119.74
Atoms (fractional coordinates):
Pm (0.5000, 0.0000, 0.0000)
In (0.7733, 0.5466, 0.6759)
In (0.2267, 0.4534, 0.3241)
Pd (0.8854, 0.7707, 0.2311)
Pd (0.1146, 0.2293, 0.7689)

Output
energy relative to the lowest polymorph listed for this composition	33	meV per atom
formation enthalpy at 0 K	-3.12	eV per formula unit

***

Computed, not measured: an optimized crystal structure of Pm4InPd2 at the GGA-PBE level of DFT.

Lattice parameters (Å, degrees): 7.0657 7.1506 9.0191 107.90 107.58 103.10
Atoms (fractional coordinates):
Pm (0.0043, 0.2462, 0.4005)
Pm (0.4145, 0.4844, 0.2599)
Pm (0.8768, 0.6563, 0.6737)
Pm (0.7301, 0.1306, 0.6931)
Pm (0.4039, 0.9744, 0.2402)
Pm (0.2868, 0.1873, 0.8063)
Pm (0.4532, 0.7326, 0.8269)
Pm (0.8540, 0.5951, 0.0994)
In (0.2055, 0.7829, 0.4818)
In (0.9735, 0.0516, 0.0182)
Pd (0.4624, 0.3406, 0.5683)
Pd (0.8036, 0.8562, 0.4155)
Pd (0.6374, 0.1902, 0.0843)
Pd (0.1441, 0.5216, 0.9319)

Output
formation enthalpy at 0 K	-3.95	eV per formula unit

***

Computed, not measured: an optimized crystal structure of PmIn2Pd2 at the GGA-PBE level of DFT.

Lattice parameters (Å, degrees): 4.7706 5.2953 9.1323 103.74 90.00 90.00
Atoms (fractional coordinates):
Pm (0.2500, 0.7979, 0.2345)
Pm (0.7500, 0.2021, 0.7655)
In (0.2500, 0.7764, 0.8707)
In (0.7500, 0.2236, 0.1293)
In (0.2500, 0.3593, 0.5307)
In (0.7500, 0.6407, 0.4693)
Pd (0.2500, 0.8925, 0.5940)
Pd (0.7500, 0.1075, 0.4060)
Pd (0.2500, 0.3227, 0.9754)
Pd (0.7500, 0.6773, 0.0246)

Output
energy relative to the lowest polymorph listed for this composition	0	meV per atom
formation enthalpy at 0 K	-3.29	eV per formula unit

***

Computed, not measured: an optimized crystal structure of Pm4In12Pd at the GGA-PBE level of DFT.

Lattice parameters (Å, degrees): 8.2155 8.2155 8.2155 109.47 109.47 109.47
Atoms (fractional coordinates):
Pm (0.0000, 0.0000, 0.5000)
Pm (0.5000, 0.0000, 0.0000)
Pm (0.5000, 0.5000, 0.5000)
Pm (0.0000, 0.5000, 0.0000)
In (0.0000, 0.2845, 0.2845)
In (0.0000, 0.7155, 0.7155)
In (0.7155, 0.7155, 0.0000)
In (0.2845, 0.2845, 0.0000)
In (0.2845, 0.0000, 0.2845)
In (0.7155, 0.0000, 0.7155)
In (0.5000, 0.2500, 0.7500)
In (0.5000, 0.7500, 0.2500)
In (0.7500, 0.2500, 0.5000)
In (0.2500, 0.7500, 0.5000)
In (0.7500, 0.5000, 0.2500)
In (0.2500, 0.5000, 0.7500)
Pd (0.0000, 0.0000, 0.0000)

Output
formation enthalpy at 0 K	-8.15	eV per formula unit

***

Computed, not measured: an optimized crystal structure of PmIn2Pd at the GGA-PBE level of DFT.

Lattice parameters (Å, degrees): 4.6038 4.6038 5.9086 67.07 67.07 60.00
Atoms (fractional coordinates):
In (0.7205, 0.7205, 0.8386)
In (0.2795, 0.2795, 0.1614)
Pd (0.0000, 0.0000, 0.0000)
Pm (0.5000, 0.5000, 0.5000)

Output
energy relative to the lowest polymorph listed for this composition	129	meV per atom
formation enthalpy at 0 K	-2.10	eV per formula unit

***

Computed, not measured: an optimized crystal structure of Pm3In2Pd4 at the GGA-PBE level of DFT.

Lattice parameters (Å, degrees): 4.5958 5.4978 9.0339 93.52 90.00 114.71
Atoms (fractional coordinates):
Pm (0.3714, 0.7427, 0.6107)
Pm (0.0000, 0.0000, 0.0000)
Pm (0.6286, 0.2573, 0.3893)
In (0.3251, 0.6503, 0.2175)
In (0.6749, 0.3497, 0.7825)
Pd (0.7123, 0.4246, 0.0883)
Pd (0.0787, 0.1574, 0.6313)
Pd (0.9213, 0.8426, 0.3687)
Pd (0.2877, 0.5754, 0.9117)

Output
formation enthalpy at 0 K	-6.70	eV per formula unit

***

Computed, not measured: an optimized crystal structure of PmIn2Pd at the GGA-PBE level of DFT.

Lattice parameters (Å, degrees): 5.8017 7.5122 17.1033 90.00 90.00 90.00
Atoms (fractional coordinates):
Pm (0.4705, 0.2500, 0.1447)
Pm (0.9705, 0.7500, 0.3553)
Pm (0.5295, 0.7500, 0.8553)
Pm (0.0295, 0.2500, 0.6447)
Pm (0.7259, 0.2500, 0.3934)
Pm (0.2259, 0.7500, 0.1066)
Pm (0.2741, 0.7500, 0.6066)
Pm (0.7741, 0.2500, 0.8934)
In (0.9665, 0.0499, 0.2159)
In (0.4665, 0.9501, 0.2841)
In (0.0335, 0.5499, 0.7841)
In (0.5335, 0.4501, 0.7159)
In (0.0335, 0.9501, 0.7841)
In (0.5335, 0.0499, 0.7159)
In (0.9665, 0.4501, 0.2159)
In (0.4665, 0.5499, 0.2841)
In (0.7352, 0.5478, 0.0324)
In (0.2352, 0.4522, 0.4676)
In (0.2648, 0.0478, 0.9676)
In (0.7648, 0.9522, 0.5324)
In (0.2648, 0.4522, 0.9676)
In (0.7648, 0.5478, 0.5324)
In (0.7352, 0.9522, 0.0324)
In (0.2352, 0.0478, 0.4676)
Pd (0.2166, 0.2500, 0.3293)
Pd (0.7166, 0.7500, 0.1707)
Pd (0.7834, 0.7500, 0.6707)
Pd (0.2834, 0.2500, 0.8293)
Pd (0.9933, 0.2500, 0.0742)
Pd (0.4933, 0.7500, 0.4258)
Pd (0.0067, 0.7500, 0.9258)
Pd (0.5067, 0.2500, 0.5742)

Output
energy relative to the lowest polymorph listed for this composition	22	meV per atom
formation enthalpy at 0 K	-2.53	eV per formula unit

***

Computed, not measured: an optimized crystal structure of PmInPd at the GGA-PBE level of DFT.

Lattice parameters (Å, degrees): 3.4963 3.4963 6.1651 106.47 106.47 90.00
Atoms (fractional coordinates):
Pm (0.3227, 0.3227, 0.6455)
Pd (0.6525, 0.6525, 0.3049)
In (0.0248, 0.0248, 0.0496)

Output
energy relative to the lowest polymorph listed for this composition	189	meV per atom
formation enthalpy at 0 K	-1.74	eV per formula unit

***

Question: Which value of formation enthalpy at 0 K does entry 6 give?
Answer: -6.70 eV per formula unit